# NpCrNi2O6

An optimized crystal structure of NpCrNi2O6 (PBE+U, the Alexandria database).

Unit cell a=5.2507 b=5.2507 c=14.3540 alpha=90.00 beta=90.00 gamma=120.00
Space group R3 (No. 146, hexagonal axes)
Symmetry-distinct sites (fractional):
Np 0.0000 0.0000 0.0000 x3
Cr 0.0000 0.0000 0.5027 x3
Ni 0.0000 0.0000 0.2004 x3
Ni 0.0000 0.0000 0.7005 x3
O 0.0114 0.6931 0.0982 x9
O 0.0391 0.3683 0.2610 x9

* total DFT energy (no corrections): -7.417 eV/atom
* size of the total moment: 5.00 μB per formula unit